(1)
# Na3YHo2O6

Crystalline Na3YHo2O6 at its relaxed geometry (GGA-PBE, Alexandria via LeMat-Bulk).

For the formation energy without anion corrections, the calculation gives -3250 kJ/mol of formula units. For the electronic total energy, the calculation gives -83.01 eV/f.u.

The structure belongs to space group C2/m (No. 12); the cell edges are 5.918, 10.249 and 5.920 Å and the angles 90.00°, 109.47° and 90.00°. The inequivalent atoms are Na at (0.000, 0.000, 0.000), Na at (0.000, 0.333, 0.000), Y at (0.000, 0.500, 0.500), Ho at (0.000, 0.167, 0.500), O at (0.235, 0.000, 0.711) and O at (0.238, 0.332, 0.711).

=====

(2)
# Na2HoZrO4

Crystalline Na2HoZrO4 at its relaxed geometry (GGA-PBE, Alexandria via LeMat-Bulk).

For the formation energy without anion corrections, the calculation gives -1991 kJ/mol of formula units. For the electronic total energy, the calculation gives -56.24 eV/f.u.

The structure belongs to space group P2/m (No. 10); the cell edges are 5.765, 3.278 and 5.943 Å and the angles 90.00°, 108.58° and 90.00°. The inequivalent atoms are Na at (0.000, 0.000, 0.000), Na at (0.500, 0.500, 0.000), Ho at (0.000, 0.500, 0.500), Zr at (0.500, 0.000, 0.500), O at (0.252, 0.000, 0.713) and O at (0.262, 0.500, 0.280).

=====

(3)
# NaHo2Os

Crystalline NaHo2Os at its relaxed geometry (GGA-PBE, Alexandria via LeMat-Bulk).

The formation energy is -0.63 eV/f.u. For the electronic total energy, the calculation gives -22.33 eV/f.u.

The structure belongs to space group P4/mmm (No. 123); the cell edges are 3.386, 3.386 and 9.521 Å and the angles 90.00°, 90.00° and 90.00°. The inequivalent atoms are Na at (0.000, 0.000, 0.000), Ho at (0.500, 0.500, 0.328) and Os at (0.000, 0.000, 0.500).

=====

(4)
# NaHoP

Crystalline NaHoP at its relaxed geometry (GGA-PBE, Alexandria via LeMat-Bulk).

The formation energy is -1.80 eV/f.u. For the electronic total energy, the calculation gives -13.11 eV/f.u.

The structure belongs to space group I4mm (No. 107); the cell edges are 3.852, 3.852 and 13.032 Å and the angles 90.00°, 90.00° and 90.00°. The inequivalent atoms are Na at (0.000, 0.000, 0.000), Ho at (0.000, 0.000, 0.284) and P at (0.000, 0.000, 0.771).

=====

(5)
# NaHoP

Crystalline NaHoP at its relaxed geometry (GGA-PBE, Alexandria via LeMat-Bulk).

The formation energy is -1.65 eV/f.u. For the electronic total energy, the calculation gives -12.95 eV/f.u.

The structure belongs to space group P3m1 (No. 156); the cell edges are 4.1197, 4.1197 and 6.5235 Å and the angles 90.00°, 90.00° and 120.00°. The inequivalent atoms are Na at (0.0000, 0.0000, 0.0000), Ho at (0.6667, 0.3333, 0.5490) and P at (0.3333, 0.6667, 0.7325).

=====

(6)
# NaHoP

Crystalline NaHoP at its relaxed geometry (GGA-PBE, Alexandria via LeMat-Bulk).

The formation energy is -2.09 eV/f.u. For the electronic total energy, the calculation gives -13.40 eV/f.u.

The structure belongs to space group P4/nmm (No. 129, origin choice 2); the cell edges are 4.864, 4.864 and 6.929 Å and the angles 90.00°, 90.00° and 90.00°. The inequivalent atoms are Na at (0.250, 0.250, 0.105), Ho at (0.250, 0.750, 0.500) and P at (0.250, 0.250, 0.692).

=====

(7)
# NaHoP2Pt4

Crystalline NaHoP2Pt4 at its relaxed geometry (GGA-PBE, Alexandria via LeMat-Bulk).

The formation energy is -5.74 eV/f.u. For the electronic total energy, the calculation gives -46.62 eV/f.u.

The structure belongs to space group P4/mmm (No. 123); the cell edges are 4.016, 4.016 and 9.910 Å and the angles 90.00°, 90.00° and 90.00°. The inequivalent atoms are Na at (0.000, 0.000, 0.000), Ho at (0.000, 0.000, 0.500), P at (0.500, 0.500, 0.160) and Pt at (0.000, 0.500, 0.283).

=====

(8)
# NaHo2P3Rh12

Crystalline NaHo2P3Rh12 at its relaxed geometry (GGA-PBE, Alexandria via LeMat-Bulk).

The formation energy is -5.22 eV/f.u. For the electronic total energy, the calculation gives -120.14 eV/f.u.

The structure belongs to space group R-3m (No. 166, hexagonal axes); the cell edges are 8.8709, 8.8709 and 12.7744 Å and the angles 90.00°, 90.00° and 120.00°. The inequivalent atoms are Na at (0.0000, 0.0000, 0.0000), Ho at (0.0000, 0.0000, 0.3718), P at (0.0000, 0.5000, 0.5000), Rh at (0.0065, 0.5032, 0.3264) and Rh at (0.0233, 0.5116, 0.8826).

=====

(9)
# NaHoPaS4

Crystalline NaHoPaS4 at its relaxed geometry (GGA-PBE, Alexandria via LeMat-Bulk).

For the formation energy without anion corrections, the calculation gives -1155 kJ/mol of formula units. For the electronic total energy, the calculation gives -43.87 eV/f.u.

The structure belongs to space group Imma (No. 74); the cell edges are 8.071, 8.236 and 11.526 Å and the angles 90.00°, 90.00° and 90.00°. The inequivalent atoms are Na at (0.000, 0.250, 0.131), Ho at (0.250, 0.250, 0.750), Pa at (0.000, 0.000, 0.500), S at (0.000, 0.026, 0.735) and S at (0.225, 0.250, 0.512).

=====

(10)
# NaHo4PaS8

Crystalline NaHo4PaS8 at its relaxed geometry (GGA-PBE, Alexandria via LeMat-Bulk).

For the formation energy without anion corrections, the calculation gives -2457 kJ/mol of formula units. For the electronic total energy, the calculation gives -87.61 eV/f.u.

The structure belongs to space group R3m (No. 160, hexagonal axes); the cell edges are 8.0494, 8.0494 and 19.9210 Å and the angles 90.00°, 90.00° and 120.00°. The inequivalent atoms are Na at (0.0000, 0.0000, 0.0000), Ho at (0.0000, 0.0000, 0.2544), Ho at (0.1716, 0.3431, 0.4595), Pa at (0.0000, 0.0000, 0.6293), S at (0.0000, 0.0000, 0.3860), S at (0.0000, 0.0000, 0.8656), S at (0.0296, 0.5148, 0.3803) and S at (0.1757, 0.3514, 0.2066).

=====

(11)
# Na2HoPaS4

Crystalline Na2HoPaS4 at its relaxed geometry (GGA-PBE, Alexandria via LeMat-Bulk).

For the formation energy without anion corrections, the calculation gives -1251 kJ/mol of formula units. For the electronic total energy, the calculation gives -46.19 eV/f.u.

The structure belongs to space group P2/m (No. 10); the cell edges are 6.887, 3.918 and 7.133 Å and the angles 90.00°, 108.34° and 90.00°. The inequivalent atoms are Na at (0.000, 0.000, 0.000), Na at (0.500, 0.500, 0.000), Ho at (0.000, 0.500, 0.500), Pa at (0.500, 0.000, 0.500), S at (0.243, 0.000, 0.729) and S at (0.252, 0.500, 0.267).

=====

(12)
# Na2Ho2PaS6

Crystalline Na2Ho2PaS6 at its relaxed geometry (GGA-PBE, Alexandria via LeMat-Bulk).

For the formation energy without anion corrections, the calculation gives -1872 kJ/mol of formula units. For the electronic total energy, the calculation gives -65.46 eV/f.u.

The structure belongs to space group C2/m (No. 12); the cell edges are 6.910, 11.940 and 7.125 Å and the angles 90.00°, 108.91° and 90.00°. The inequivalent atoms are Na at (0.000, 0.168, 0.000), Ho at (0.000, 0.334, 0.500), Pa at (0.000, 0.000, 0.500), S at (0.237, 0.167, 0.720) and S at (0.246, 0.500, 0.721).

=====

(13)
# Na3Ho2PaSe6

Crystalline Na3Ho2PaSe6 at its relaxed geometry (GGA-PBE, Alexandria via LeMat-Bulk).

For the formation energy without anion corrections, the calculation gives -1774 kJ/mol of formula units. For the electronic total energy, the calculation gives -61.90 eV/f.u.

The structure belongs to space group C2/m (No. 12); the cell edges are 7.139, 12.364 and 7.443 Å and the angles 90.00°, 108.64° and 90.00°. The inequivalent atoms are Na at (0.000, 0.000, 0.000), Na at (0.000, 0.333, 0.000), Ho at (0.000, 0.167, 0.500), Pa at (0.000, 0.500, 0.500), Se at (0.243, 0.000, 0.732) and Se at (0.245, 0.333, 0.732).

=====

(14)
# Na2HoPa2Se6

Crystalline Na2HoPa2Se6 at its relaxed geometry (GGA-PBE, Alexandria via LeMat-Bulk).

For the formation energy without anion corrections, the calculation gives -1523 kJ/mol of formula units. For the electronic total energy, the calculation gives -62.90 eV/f.u.

The structure belongs to space group C2/m (No. 12); the cell edges are 7.165, 12.288 and 7.506 Å and the angles 90.00°, 107.93° and 90.00°. The inequivalent atoms are Na at (0.000, 0.167, 0.000), Ho at (0.000, 0.000, 0.500), Pa at (0.000, 0.338, 0.500), Se at (0.240, 0.168, 0.726) and Se at (0.249, 0.500, 0.734).

=====

(15)
# Na2HoPa2Te6

Crystalline Na2HoPa2Te6 at its relaxed geometry (GGA-PBE, Alexandria via LeMat-Bulk).

For the formation energy without anion corrections, the calculation gives -1056 kJ/mol of formula units. For the electronic total energy, the calculation gives -56.00 eV/f.u.

The structure belongs to space group C2/m (No. 12); the cell edges are 7.537, 13.068 and 8.132 Å and the angles 90.00°, 108.01° and 90.00°. The inequivalent atoms are Na at (0.000, 0.166, 0.000), Ho at (0.000, 0.000, 0.500), Pa at (0.000, 0.333, 0.500), Te at (0.244, 0.500, 0.734) and Te at (0.245, 0.165, 0.734).

=====

(16)
# Na2Ho2PaTe6

Crystalline Na2Ho2PaTe6 at its relaxed geometry (GGA-PBE, Alexandria via LeMat-Bulk).

For the formation energy without anion corrections, the calculation gives -1235 kJ/mol of formula units. For the electronic total energy, the calculation gives -52.94 eV/f.u.

The structure belongs to space group C2/m (No. 12); the cell edges are 7.617, 13.154 and 8.057 Å and the angles 90.00°, 108.44° and 90.00°. The inequivalent atoms are Na at (0.000, 0.167, 0.000), Ho at (0.000, 0.333, 0.500), Pa at (0.000, 0.000, 0.500), Te at (0.242, 0.500, 0.730) and Te at (0.245, 0.166, 0.732).

=====

(17)
# Na3HoPb6

Crystalline Na3HoPb6 at its relaxed geometry (GGA-PBE, Alexandria via LeMat-Bulk).

The formation energy is -1.88 eV/f.u. For the electronic total energy, the calculation gives -32.66 eV/f.u.

The structure belongs to space group P2_1/m (No. 11); the cell edges are 10.887, 4.882 and 10.918 Å and the angles 90.00°, 90.39° and 90.00°. The inequivalent atoms are Na at (0.003, 0.250, 0.249), Na at (0.205, 0.750, 0.346), Na at (0.402, 0.250, 0.446), Ho at (0.386, 0.750, 0.941), Pb at (0.098, 0.250, 0.540), Pb at (0.104, 0.750, 0.046), Pb at (0.188, 0.250, 0.836), Pb at (0.301, 0.750, 0.646), Pb at (0.309, 0.250, 0.143) and Pb at (0.498, 0.250, 0.758).

=====

(18)
# NaHo2Pb9

Crystalline NaHo2Pb9 at its relaxed geometry (GGA-PBE, Alexandria via LeMat-Bulk).

The formation energy is -2.63 eV/f.u. For the electronic total energy, the calculation gives -46.48 eV/f.u.

The structure belongs to space group P4/mmm (No. 123); the cell edges are 4.842, 4.842 and 14.884 Å and the angles 90.00°, 90.00° and 90.00°. The inequivalent atoms are Na at (0.000, 0.000, 0.000), Ho at (0.000, 0.000, 0.337), Pb at (0.000, 0.500, 0.167), Pb at (0.000, 0.500, 0.500), Pb at (0.500, 0.500, 0.000) and Pb at (0.500, 0.500, 0.332).

=====

(19)
# NaHoPb

Crystalline NaHoPb at its relaxed geometry (GGA-PBE, Alexandria via LeMat-Bulk).

The formation energy is -0.50 eV/f.u. For the electronic total energy, the calculation gives -10.10 eV/f.u.

The structure belongs to space group F-43m (No. 216); the cell edges are 7.310, 7.310 and 7.310 Å and the angles 90.00°, 90.00° and 90.00°. The inequivalent atoms are Na at (0.000, 0.000, 0.000), Ho at (0.000, 0.000, 0.500) and Pb at (0.250, 0.250, 0.750).

=====

(20)
# NaHoPb3

Crystalline NaHoPb3 at its relaxed geometry (GGA-PBE, Alexandria via LeMat-Bulk).

The formation energy is -1.01 eV/f.u. For the electronic total energy, the calculation gives -18.03 eV/f.u.

The structure belongs to space group P2/c (No. 13); the cell edges are 6.484, 14.102 and 6.389 Å and the angles 90.00°, 90.13° and 90.00°. The inequivalent atoms are Na at (0.000, 0.102, 0.250), Na at (0.500, 0.102, 0.250), Ho at (0.250, 0.316, 0.503), Pb at (0.000, 0.495, 0.750), Pb at (0.250, 0.106, 0.710), Pb at (0.250, 0.289, 0.011) and Pb at (0.500, 0.495, 0.750).

=====

(21)
# NaHoPb3

Crystalline NaHoPb3 at its relaxed geometry (GGA-PBE, Alexandria via LeMat-Bulk).

The formation energy is -0.21 eV/f.u. For the electronic total energy, the calculation gives -17.23 eV/f.u.

The structure belongs to space group Cmcm (No. 63); the cell edges are 8.382, 11.618 and 6.291 Å and the angles 90.00°, 90.00° and 90.00°. The inequivalent atoms are Na at (0.000, 0.000, 0.000), Ho at (0.000, 0.301, 0.250), Pb at (0.000, 0.221, 0.750) and Pb at (0.191, 0.445, 0.750).

=====

(22)
# NaHoPb2

Crystalline NaHoPb2 at its relaxed geometry (GGA-PBE, Alexandria via LeMat-Bulk).

The formation energy is -1.21 eV/f.u. For the electronic total energy, the calculation gives -14.52 eV/f.u.

The structure belongs to space group P4/mmm (No. 123); the cell edges are 3.513, 3.513 and 9.362 Å and the angles 90.00°, 90.00° and 90.00°. The inequivalent atoms are Na at (0.000, 0.000, 0.000), Ho at (0.000, 0.000, 0.500) and Pb at (0.500, 0.500, 0.258).